(1)
This record from the Alexandria database describes an optimized crystal structure of ZrCrGa2P. The functional is PBE.

a b c (Å): 4.6569 4.6569 4.7752
angles (deg): 90.00 90.00 90.00
With the nearest neighbours (Å) after each atom.
Sites, in units of the cell vectors:
1 Zr 0.0000 0.0000 0.0000  2 Cr 2.39
2 Cr 0.0000 0.0000 0.5000  4 Ga 2.33, 2 Zr 2.39
3 Ga 0.0000 0.5000 0.5000  2 Cr 2.33
4 Ga 0.5000 0.0000 0.5000  2 Cr 2.33
5 P 0.5000 0.5000 0.0000  4 Zr 3.29, 8 Ga 3.34

Properties
N(E_F), states/eV per cell: 3.70
VASP energy, eV/atom: -5.43
Energy relative to the elements, eV/atom: 0.4965

=====

(2)
This record from the Alexandria database describes an optimized crystal structure of ZrCrGaP2. The functional is PBE.

a b c (Å): 4.5566 4.5566 4.9801
angles (deg): 90.00 90.00 90.00
With the nearest neighbours (Å) after each atom.
Sites, in units of the cell vectors:
1 Zr 0.0000 0.0000 0.0000  2 Ga 2.49
2 Cr 0.5000 0.5000 0.0000  4 Zr 3.22, 8 P 3.38
3 Ga 0.0000 0.0000 0.5000  4 P 2.28, 2 Zr 2.49
4 P 0.0000 0.5000 0.5000  2 Ga 2.28
5 P 0.5000 0.0000 0.5000  2 Ga 2.28

Properties
N(E_F), states/eV per cell: 7.19
VASP energy, eV/atom: -5.06
Energy relative to the elements, eV/atom: 1.3399

=====

(3)
This record from the Alexandria database describes an optimized crystal structure of PaCrGa. The functional is PBE.

a b c (Å): 4.1420 3.5841 7.7185
angles (deg): 90.00 90.00 90.00
With the nearest neighbours (Å) after each atom.
Sites, in units of the cell vectors:
1 Pa 0.2500 0.0000 0.2153  6 Cr 2.88-2.94, 4 Ga 3.12
2 Pa 0.7500 0.0000 0.7847  6 Cr 2.88-2.94, 4 Ga 3.12
3 Cr 0.2500 0.5000 0.9225  2 Cr 2.39, 1 Ga 2.57
4 Cr 0.7500 0.5000 0.0775  2 Cr 2.39, 1 Ga 2.57
5 Ga 0.2500 0.5000 0.5900  2 Ga 2.49, 1 Cr 2.57
6 Ga 0.7500 0.5000 0.4100  2 Ga 2.49, 1 Cr 2.57

Properties
N(E_F), states/eV per cell: 7.44
VASP energy, eV/atom: -7.39
Energy relative to the elements, eV/atom: -0.0104

=====

(4)
This record from the Alexandria database describes an optimized crystal structure of PaCrGa. The functional is PBE.

a b c (Å): 4.5714 4.5714 3.1492
angles (deg): 90.00 90.00 120.00
With the nearest neighbours (Å) after each atom.
Sites, in units of the cell vectors:
1 Pa 0.0000 0.0000 0.0000  6 Ga 3.07, 6 Cr 3.07, 2 Pa 3.15
2 Cr 0.6667 0.3333 0.5000  3 Ga 2.64
3 Ga 0.3333 0.6667 0.5000  3 Cr 2.64

Properties
N(E_F), states/eV per cell: 4.05
VASP energy, eV/atom: -7.38
Energy relative to the elements, eV/atom: 0.0016

=====

(5)
This record from the Alexandria database describes an optimized crystal structure of PaCrGa. The functional is PBE.

a b c (Å): 5.2574 5.2574 5.2574
angles (deg): 141.31 141.31 55.87
With the nearest neighbours (Å) after each atom.
Sites, in units of the cell vectors:
1 Pa 0.0000 0.0000 0.0000  1 Cr 2.32
2 Cr 0.2499 0.2499 0.0000  1 Pa 2.32, 4 Ga 2.54
3 Ga 0.6834 0.6834 0.0000  4 Cr 2.54

Properties
N(E_F), states/eV per cell: 2.95
VASP energy, eV/atom: -7.22
Energy relative to the elements, eV/atom: 0.1669

=====

(6)
This record from the Alexandria database describes an optimized crystal structure of Pa2CrGa3. The functional is PBE.

a b c (Å): 5.5858 5.5858 5.5858
angles (deg): 131.18 110.62 89.39
With the nearest neighbours (Å) after each atom.
Sites, in units of the cell vectors:
1 Pa 0.2353 0.0000 0.2353  1 Pa 2.99, 9 Ga 3.04-3.12, 3 Cr 3.05-3.15
2 Pa 0.7647 0.0000 0.7647  1 Pa 2.99, 9 Ga 3.04-3.12, 3 Cr 3.05-3.15
3 Cr 0.3344 0.3344 0.0000  3 Ga 2.55-2.61
4 Ga 0.1811 0.6811 0.5000  2 Cr 2.61, 1 Ga 2.80
5 Ga 0.6558 0.6558 0.0000  1 Cr 2.55, 2 Ga 2.69
6 Ga 0.8289 0.3289 0.5000  3 Ga 2.69-2.80

Properties
N(E_F), states/eV per cell: 7.51
VASP energy, eV/atom: -6.48
Energy relative to the elements, eV/atom: -0.1996

=====

(7)
This record from the Alexandria database describes an optimized crystal structure of PaCr4Ga. The functional is PBE.

a b c (Å): 5.0215 5.0215 5.0215
angles (deg): 60.00 60.00 60.00
With the nearest neighbours (Å) after each atom.
Sites, in units of the cell vectors:
1 Pa 0.0000 0.0000 0.0000  12 Cr 2.94, 4 Ga 3.08
2 Cr 0.1238 0.6254 0.6254  6 Cr 2.50-2.52
3 Cr 0.6254 0.1238 0.6254  6 Cr 2.50-2.52
4 Cr 0.6254 0.6254 0.1238  6 Cr 2.50-2.52
5 Cr 0.6254 0.6254 0.6254  6 Cr 2.50-2.52
6 Ga 0.2500 0.2500 0.2500  12 Cr 2.94, 4 Pa 3.08

Properties
N(E_F), states/eV per cell: 7.19
VASP energy, eV/atom: -8.26
Energy relative to the elements, eV/atom: 0.2428

=====

(8)
This record from the Alexandria database describes an optimized crystal structure of Pa3CrGa12. The functional is PBE.

a b c (Å): 4.2743 4.2743 16.4532
angles (deg): 90.00 90.00 90.00
With the nearest neighbours (Å) after each atom.
Sites, in units of the cell vectors:
1 Pa 0.0000 0.0000 0.0000  12 Ga 3.02-3.04
2 Pa 0.0000 0.0000 0.2638  12 Ga 3.02-3.05
3 Pa 0.0000 0.0000 0.7362  12 Ga 3.02-3.05
4 Cr 0.0000 0.0000 0.5000  12 Ga 2.76-3.02
5 Ga 0.0000 0.5000 0.1316  8 Ga 2.97-3.04, 4 Pa 3.04-3.05
6 Ga 0.0000 0.5000 0.3935  2 Cr 2.76, 6 Ga 2.76-3.02, 2 Pa 3.02
7 Ga 0.0000 0.5000 0.6065  2 Cr 2.76, 6 Ga 2.76-3.02, 2 Pa 3.02
8 Ga 0.0000 0.5000 0.8684  8 Ga 2.97-3.04, 4 Pa 3.04-3.05
9 Ga 0.5000 0.0000 0.1316  8 Ga 2.97-3.04, 4 Pa 3.04-3.05
10 Ga 0.5000 0.0000 0.3935  2 Cr 2.76, 6 Ga 2.76-3.02, 2 Pa 3.02
11 Ga 0.5000 0.0000 0.6065  2 Cr 2.76, 6 Ga 2.76-3.02, 2 Pa 3.02
12 Ga 0.5000 0.0000 0.8684  8 Ga 2.97-3.04, 4 Pa 3.04-3.05
13 Ga 0.5000 0.5000 0.0000  4 Pa 3.02, 8 Ga 3.04
14 Ga 0.5000 0.5000 0.2566  8 Ga 2.97-3.10, 4 Pa 3.02
15 Ga 0.5000 0.5000 0.5000  8 Ga 2.76, 4 Cr 3.02
16 Ga 0.5000 0.5000 0.7434  8 Ga 2.97-3.10, 4 Pa 3.02

Properties
N(E_F), states/eV per cell: 14.98
VASP energy, eV/atom: -4.93
Energy relative to the elements, eV/atom: -0.2789

=====

(9)
This record from the Alexandria database describes an optimized crystal structure of PaCrGaRe. The functional is PBE.

a b c (Å): 4.6029 4.6029 4.6029
angles (deg): 60.00 60.00 60.00
With the nearest neighbours (Å) after each atom.
Sites, in units of the cell vectors:
1 Pa 0.0000 0.0000 0.0000  4 Re 2.82, 4 Cr 2.82
2 Cr 0.2500 0.2500 0.2500  4 Ga 2.82, 4 Pa 2.82
3 Ga 0.5000 0.5000 0.5000  4 Cr 2.82, 4 Re 2.82
4 Re 0.7500 0.7500 0.7500  4 Ga 2.82, 4 Pa 2.82

Properties
N(E_F), states/eV per cell: 3.28
VASP energy, eV/atom: -8.60
Energy relative to the elements, eV/atom: 0.0522

=====

(10)
This record from the Alexandria database describes an optimized crystal structure of PaVCrGa. The functional is PBE.

a b c (Å): 4.4665 4.4665 4.4665
angles (deg): 60.00 60.00 60.00
With the nearest neighbours (Å) after each atom.
Sites, in units of the cell vectors:
1 Pa 0.0000 0.0000 0.0000  4 Cr 2.74, 4 V 2.74
2 V 0.2500 0.2500 0.2500  4 Pa 2.74, 4 Ga 2.74
3 Cr 0.7500 0.7500 0.7500  4 Pa 2.74, 4 Ga 2.74
4 Ga 0.5000 0.5000 0.5000  4 Cr 2.74, 4 V 2.74

Properties
N(E_F), states/eV per cell: 3.93
VASP energy, eV/atom: -7.84
Energy relative to the elements, eV/atom: -0.0201

=====

(11)
This record from the Alexandria database describes an optimized crystal structure of CrGa2Pb2. The functional is PBE.

a b c (Å): 9.3310 9.3310 9.3310
angles (deg): 157.92 157.92 31.42
With the nearest neighbours (Å) after each atom.
Sites, in units of the cell vectors:
1 Cr 0.0000 0.0000 0.0000  8 Pb 2.99
2 Ga 0.2500 0.7500 0.5000  4 Ga 2.53
3 Ga 0.7500 0.2500 0.5000  4 Ga 2.53
4 Pb 0.4105 0.4105 0.0000  4 Cr 2.99, 1 Pb 3.21
5 Pb 0.5895 0.5895 0.0000  4 Cr 2.99, 1 Pb 3.21

Properties
Relative energy among the computed polymorphs, meV per atom: 0
N(E_F), states/eV per cell: 6.19
VASP energy, eV/atom: -4.02
Energy relative to the elements, eV/atom: 0.5985

=====

(12)
This record from the Alexandria database describes an optimized crystal structure of CrGaPb2. The functional is PBE.

a b c (Å): 10.5545 10.5545 10.5545
angles (deg): 154.98 154.98 35.68
With the nearest neighbours (Å) after each atom.
Sites, in units of the cell vectors:
1 Cr 0.0000 0.0000 0.0000  4 Pb 2.98, 4 Ga 3.23
2 Cr 0.7500 0.2500 0.5000  4 Pb 2.98, 4 Ga 3.23
3 Ga 0.2500 0.7500 0.5000  4 Pb 2.99, 4 Cr 3.23
4 Ga 0.5000 0.5000 0.0000  4 Pb 2.99, 4 Cr 3.23
5 Pb 0.1234 0.6250 0.9984  2 Cr 2.98, 2 Ga 2.99, 4 Pb 3.22-3.24
6 Pb 0.3750 0.3734 0.4984  2 Cr 2.98, 2 Ga 2.99, 4 Pb 3.22-3.24
7 Pb 0.6266 0.1250 0.0016  2 Cr 2.98, 2 Ga 2.99, 4 Pb 3.22-3.24
8 Pb 0.8750 0.8766 0.5016  2 Cr 2.98, 2 Ga 2.99, 4 Pb 3.22-3.24

Properties
N(E_F), states/eV per cell: 4.15
VASP energy, eV/atom: -4.51
Energy relative to the elements, eV/atom: 0.5051